DFT (PBE) results for NbAlZnCo after structural relaxation.

Cell: 4.3157 4.3157 4.3157 Å, 60.00 60.00 60.00°
Closest atoms and distances in Å follow each position.
Positions (direct):
Nb1 0.2500 0.2500 0.2500  4 Co 2.64, 4 Zn 2.64
Zn1 0.0000 0.0000 0.0000  4 Nb 2.64, 4 Al 2.64
Co1 0.5000 0.5000 0.5000  4 Nb 2.64, 4 Al 2.64
Al1 0.7500 0.7500 0.7500  4 Co 2.64, 4 Zn 2.64

formation energy	-187	meV per atom
V	14.2	Å³/atom
energy	-5.73	eV/atom